# 1
Computed, not measured: a geometry-optimized Ag4Sn structure at the PBE-GGA level of DFT.

Values from the calculation:
**Density**: 8.5 g cm⁻³
**ΔE_f**: 0.1724 eV/atom

Unit cell a=5.5737 b=5.5841 c=13.7480 alpha=90.00 beta=90.00 gamma=90.00
Last column: nearest neighbours and their distance in Å.
Space group Fmmm (No. 69)
Asymmetric unit:
Ag1 0.0000 0.0000 0.0999 (multiplicity 8)  5 Ag 2.75-2.85
Ag2 0.2500 0.2500 0.2500 (multiplicity 8)  8 Ag 2.79-2.85
Sn1 0.0000 0.0000 0.5000 (multiplicity 4)  8 Ag 3.11

=====

# 2
Computed, not measured: a geometry-optimized Ag3Sn2 structure at the PBE-GGA level of DFT.

Values from the calculation:
**Offset from the most stable computed form**: 0.15 eV per formula unit
**Density**: 8.4 g cm⁻³
**ΔE_f**: 0.1043 eV/atom

Unit cell a=9.5312 b=7.4559 c=3.3286 alpha=90.00 beta=109.88 gamma=90.00
Last column: nearest neighbours and their distance in Å.
Space group C2/m (No. 12)
Asymmetric unit:
Ag1 0.0000 0.0000 0.0000 (multiplicity 2)  4 Ag 2.82, 4 Sn 2.93-2.95
Ag2 0.0000 0.3049 0.5000 (multiplicity 4)  3 Ag 2.82-2.91, 4 Sn 3.00-3.04
Sn1 0.2296 0.5000 0.2324 (multiplicity 4)  6 Ag 2.93-3.04

=====

# 3
Computed, not measured: a geometry-optimized AgSn3 structure at the PBE-GGA level of DFT.

Values from the calculation:
**Density**: 7.6 g cm⁻³
**ΔE_f**: 0.1183 eV/atom

Unit cell a=7.3882 b=7.3882 c=7.3882 alpha=90.00 beta=90.00 gamma=90.00
Last column: nearest neighbours and their distance in Å.
Space group Fm-3m (No. 225)
Asymmetric unit:
Ag1 0.0000 0.0000 0.0000 (multiplicity 4)  8 Sn 3.20
Sn1 0.0000 0.0000 0.5000 (multiplicity 4)  8 Sn 3.20
Sn2 0.2500 0.2500 0.2500 (multiplicity 8)  4 Sn 3.20, 4 Ag 3.20